[1]
# CsGeTe2N | Alexandria | PBE | optimized geometry
data_CsGeTe2N
_space_group_name_H-M_alt 'P 4/m m m'
_space_group_IT_number 123
_space_group_name_Hall '-P 4 2'
_cell_length_a 6.4656
_cell_length_b 6.4656
_cell_length_c 4.1828
_cell_angle_alpha 90.00
_cell_angle_beta 90.00
_cell_angle_gamma 90.00
loop_
_atom_site_label
_atom_site_fract_x
_atom_site_fract_y
_atom_site_fract_z
_atom_site_occupancy
Cs1 0.0000 0.0000 0.0000 1
Ge1 0.5000 0.5000 0.5000 1
Te1 0.0000 0.5000 0.0000 1
N1 0.0000 0.0000 0.5000 1
# total DFT energy (no corrections)	-2.232	eV per atom
# ΔE_f (raw)	1.78	eV/atom
# relative energy among the computed polymorphs	7.42	eV per formula unit

---

[2]
# CsTh2Ge2N6 | Alexandria | PBE | optimized geometry
data_CsTh2Ge2N6
_space_group_name_H-M_alt 'C 1 2/m 1'
_space_group_IT_number 12
_cell_length_a 12.2093
_cell_length_b 6.5718
_cell_length_c 6.8258
_cell_angle_alpha 90.00
_cell_angle_beta 122.80
_cell_angle_gamma 90.00
loop_
_space_group_symop_operation_xyz
'x,y,z'
'-x,-y,-z'
'-x,y,-z'
'x,-y,z'
'x+1/2,y+1/2,z'
'-x+1/2,-y+1/2,-z'
'-x+1/2,y+1/2,-z'
'x+1/2,-y+1/2,z'
loop_
_atom_site_label
_atom_site_fract_x
_atom_site_fract_y
_atom_site_fract_z
_atom_site_occupancy
Cs1 0.0000 0.0000 0.0000 1
Th1 0.1752 0.5000 0.3057 1
Ge1 0.1470 0.5000 0.7418 1
N1 0.0595 0.5000 0.8808 1
N2 0.2007 0.2879 0.6453 1
# total DFT energy (no corrections)	-7.262	eV per atom
# ΔE_f (raw)	-0.45	eV/atom

---

[3]
# CsZrGeN2 | Alexandria | PBE | optimized geometry
data_CsZrGeN2
_space_group_name_H-M_alt 'P 4/m m m'
_space_group_IT_number 123
_space_group_name_Hall '-P 4 2'
_cell_length_a 4.2547
_cell_length_b 4.2547
_cell_length_c 5.6796
_cell_angle_alpha 90.00
_cell_angle_beta 90.00
_cell_angle_gamma 90.00
loop_
_atom_site_label
_atom_site_fract_x
_atom_site_fract_y
_atom_site_fract_z
_atom_site_occupancy
Cs1 0.0000 0.0000 0.0000 1
Zr1 0.5000 0.5000 0.5000 1
Ge1 0.0000 0.0000 0.5000 1
N1 0.0000 0.5000 0.0000 1
# total DFT energy (no corrections)	-3.873	eV per atom
# ΔE_f (raw)	2.26	eV/atom

---

The records above give, respectively, D(E_F) values of 6.747 12.496 2.823 states/eV/cell.